(1)
{
  "formula": "CdCoRu2",
  "functional": "PBE-GGA",
  "state": "optimized geometry",
  "lattice_angstrom": [[2.751, 0.000, 0.000], [-1.375, 2.382, 0.000], [0.000, 0.000, 26.790]],
  "species": ["Cd", "Cd", "Cd", "Co", "Co", "Co", "Ru", "Ru", "Ru", "Ru", "Ru", "Ru"],
  "frac_coords": [[0.000, 0.000, 0.000], [0.333, 0.667, 0.667], [0.667, 0.333, 0.333], [0.000, 0.000, 0.500], [0.333, 0.667, 0.167], [0.667, 0.333, 0.833], [0.000, 0.000, 0.241], [0.000, 0.000, 0.759], [0.333, 0.667, 0.426], [0.333, 0.667, 0.908], [0.667, 0.333, 0.092], [0.667, 0.333, 0.574]],
  "e_tot_ev_per_atom": -6.32
}

---

(2)
{
  "formula": "CdCoRu2",
  "functional": "PBE-GGA",
  "state": "optimized geometry",
  "lattice_angstrom": [[2.761, 0.000, 0.000], [0.000, 2.761, 0.000], [0.000, 0.000, 7.656]],
  "species": ["Cd", "Co", "Ru", "Ru"],
  "frac_coords": [[0.000, 0.000, 0.000], [0.000, 0.000, 0.500], [0.500, 0.500, 0.288], [0.500, 0.500, 0.712]],
  "e_tot_ev_per_atom": -6.30
}

---

(3)
{
  "formula": "CdCoRu2",
  "functional": "PBE-GGA",
  "state": "optimized geometry",
  "lattice_angstrom": [[2.837, 0.000, 0.000], [0.000, 4.575, 0.000], [0.000, 0.000, 4.598]],
  "species": ["Cd", "Co", "Ru", "Ru"],
  "frac_coords": [[0.000, 0.000, 0.000], [0.500, 0.500, 0.000], [0.000, 0.500, 0.500], [0.500, 0.000, 0.500]],
  "e_tot_ev_per_atom": -6.11
}

---

(4)
{
  "formula": "Cd2CoSiRu",
  "functional": "PBE-GGA",
  "state": "optimized geometry",
  "lattice_angstrom": [[5.156, 0.000, 0.000], [0.000, 5.156, 0.000], [0.000, 0.000, 4.435]],
  "species": ["Cd", "Cd", "Co", "Si", "Ru"],
  "frac_coords": [[0.000, 0.500, 0.000], [0.500, 0.000, 0.000], [0.000, 0.000, 0.500], [0.500, 0.500, 0.500], [0.500, 0.500, 0.000]],
  "formation_energy_uncorrected_ev_per_atom": 0.898,
  "e_tot_ev_per_atom": -3.83
}

---

(5)
{
  "formula": "VCdCo2Ru",
  "functional": "PBE-GGA",
  "state": "optimized geometry",
  "lattice_angstrom": [[4.110, 0.000, 0.000], [0.000, 4.110, 0.000], [0.000, 0.000, 4.953]],
  "species": ["V", "Cd", "Co", "Co", "Ru"],
  "frac_coords": [[0.000, 0.000, 0.000], [0.000, 0.000, 0.500], [0.000, 0.500, 0.000], [0.500, 0.000, 0.000], [0.500, 0.500, 0.500]],
  "e_tot_ev_per_atom": -5.31
}

---

(6)
{
  "formula": "Zn2CdCoRu",
  "functional": "PBE-GGA",
  "state": "optimized geometry",
  "lattice_angstrom": [[4.503, 0.000, 0.000], [0.000, 4.503, 0.000], [0.000, 0.000, 4.430]],
  "species": ["Zn", "Zn", "Cd", "Co", "Ru"],
  "frac_coords": [[0.000, 0.500, 0.000], [0.500, 0.000, 0.000], [0.000, 0.000, 0.500], [0.500, 0.500, 0.000], [0.500, 0.500, 0.500]],
  "e_tot_ev_per_atom": -3.37
}

---

(7)
{
  "formula": "CdCo2S",
  "functional": "PBE-GGA",
  "state": "optimized geometry",
  "lattice_angstrom": [[6.483, 0.000, 0.000], [0.000, 6.483, 0.000], [0.000, 0.000, 5.734]],
  "species": ["Cd", "Cd", "Cd", "Cd", "Co", "Co", "Co", "Co", "Co", "Co", "Co", "Co", "S", "S", "S", "S"],
  "frac_coords": [[0.000, 0.000, 0.000], [0.000, 0.500, 0.250], [0.500, 0.000, 0.750], [0.500, 0.500, 0.500], [0.162, 0.250, 0.625], [0.250, 0.662, 0.875], [0.250, 0.838, 0.375], [0.338, 0.250, 0.125], [0.662, 0.750, 0.125], [0.750, 0.162, 0.375], [0.750, 0.338, 0.875], [0.838, 0.750, 0.625], [0.000, 0.000, 0.500], [0.000, 0.500, 0.750], [0.500, 0.000, 0.250], [0.500, 0.500, 0.000]],
  "formation_energy_uncorrected_ev_per_atom": 0.170,
  "e_tot_ev_per_atom": -4.64
}

---

(8)
{
  "formula": "CdCoS2",
  "functional": "PBE-GGA",
  "state": "optimized geometry",
  "lattice_angstrom": [[3.881, 0.000, 0.000], [-1.941, 3.361, 0.000], [0.000, 0.000, 21.433]],
  "species": ["Cd", "Cd", "Cd", "Co", "Co", "Co", "S", "S", "S", "S", "S", "S"],
  "frac_coords": [[0.000, 0.000, 0.000], [0.333, 0.667, 0.667], [0.667, 0.333, 0.333], [0.000, 0.000, 0.500], [0.333, 0.667, 0.167], [0.667, 0.333, 0.833], [0.000, 0.000, 0.402], [0.000, 0.000, 0.598], [0.333, 0.667, 0.068], [0.333, 0.667, 0.265], [0.667, 0.333, 0.735], [0.667, 0.333, 0.932]],
  "formation_energy_uncorrected_ev_per_atom": 0.108,
  "e_tot_ev_per_atom": -3.96
}

---

(9)
{
  "formula": "CdCoS2",
  "functional": "PBE-GGA",
  "state": "optimized geometry",
  "lattice_angstrom": [[3.360, 0.000, 0.000], [-1.680, 2.910, 0.000], [0.000, 0.000, 22.418]],
  "species": ["Cd", "Cd", "Cd", "Co", "Co", "Co", "S", "S", "S", "S", "S", "S"],
  "frac_coords": [[0.000, 0.000, 0.000], [0.333, 0.667, 0.667], [0.667, 0.333, 0.333], [0.000, 0.000, 0.500], [0.333, 0.667, 0.167], [0.667, 0.333, 0.833], [0.000, 0.000, 0.116], [0.000, 0.000, 0.884], [0.333, 0.667, 0.550], [0.333, 0.667, 0.783], [0.667, 0.333, 0.217], [0.667, 0.333, 0.450]],
  "formation_energy_uncorrected_ev_per_atom": -0.284,
  "e_tot_ev_per_atom": -4.35
}

---

(10)
{
  "formula": "CdCoS2",
  "functional": "PBE-GGA",
  "state": "optimized geometry",
  "lattice_angstrom": [[5.533, 0.000, 0.000], [0.000, 5.533, 0.000], [0.000, 0.000, 10.516]],
  "species": ["Cd", "Cd", "Cd", "Cd", "Co", "Co", "Co", "Co", "S", "S", "S", "S", "S", "S", "S", "S"],
  "frac_coords": [[0.000, 0.000, 0.000], [0.000, 0.500, 0.250], [0.500, 0.000, 0.750], [0.500, 0.500, 0.500], [0.000, 0.000, 0.500], [0.000, 0.500, 0.750], [0.500, 0.000, 0.250], [0.500, 0.500, 0.000], [0.183, 0.250, 0.625], [0.250, 0.683, 0.875], [0.250, 0.817, 0.375], [0.317, 0.250, 0.125], [0.683, 0.750, 0.125], [0.750, 0.183, 0.375], [0.750, 0.317, 0.875], [0.817, 0.750, 0.625]],
  "formation_energy_uncorrected_ev_per_atom": -0.317,
  "e_tot_ev_per_atom": -4.39
}

---

(11)
{
  "formula": "CdCo2Sb2",
  "functional": "PBE-GGA",
  "state": "optimized geometry",
  "lattice_angstrom": [[4.379, 0.000, 0.000], [0.000, 4.379, 0.000], [0.000, 0.000, 10.409]],
  "species": ["Cd", "Cd", "Co", "Co", "Co", "Co", "Sb", "Sb", "Sb", "Sb"],
  "frac_coords": [[0.000, 0.000, 0.000], [0.500, 0.500, 0.500], [0.000, 0.000, 0.387], [0.000, 0.000, 0.613], [0.500, 0.500, 0.113], [0.500, 0.500, 0.887], [0.000, 0.500, 0.250], [0.000, 0.500, 0.750], [0.500, 0.000, 0.250], [0.500, 0.000, 0.750]],
  "formation_energy_uncorrected_ev_per_atom": 0.355,
  "e_tot_ev_per_atom": -4.32,
  "de_polymorph_ev_per_atom": 0.178
}

---

(12)
{
  "formula": "CdCoSb4",
  "functional": "PBE-GGA",
  "state": "optimized geometry",
  "lattice_angstrom": [[0.000, 4.371, 4.371], [4.371, 0.000, 4.371], [4.371, 4.371, 0.000]],
  "species": ["Cd", "Co", "Sb", "Sb", "Sb", "Sb"],
  "frac_coords": [[0.000, 0.000, 0.000], [0.750, 0.750, 0.750], [0.375, 0.375, 0.375], [0.375, 0.375, 0.875], [0.375, 0.875, 0.375], [0.875, 0.375, 0.375]],
  "formation_energy_uncorrected_ev_per_atom": 0.730,
  "e_tot_ev_per_atom": -3.36
}

---

(13)
{
  "formula": "CdCo2Sb",
  "functional": "PBE-GGA",
  "state": "optimized geometry",
  "lattice_angstrom": [[3.062, 0.000, 0.000], [0.000, 3.117, 0.000], [0.000, 0.000, 7.549]],
  "species": ["Cd", "Co", "Co", "Sb"],
  "frac_coords": [[0.000, 0.000, 0.000], [0.000, 0.000, 0.379], [0.500, 0.500, 0.230], [0.500, 0.500, 0.596]],
  "formation_energy_uncorrected_ev_per_atom": 0.218,
  "e_tot_ev_per_atom": -4.59,
  "de_polymorph_ev_per_atom": 0.007
}

---

(14)
{
  "formula": "CdCoSb2",
  "functional": "PBE-GGA",
  "state": "optimized geometry",
  "lattice_angstrom": [[6.587, 0.000, 0.000], [0.000, 3.814, 0.000], [-2.202, 0.000, 7.221]],
  "species": ["Cd", "Cd", "Co", "Co", "Sb", "Sb", "Sb", "Sb"],
  "frac_coords": [[0.000, 0.000, 0.000], [0.500, 0.500, 0.000], [0.000, 0.500, 0.500], [0.500, 0.000, 0.500], [0.227, 0.000, 0.680], [0.273, 0.500, 0.320], [0.727, 0.500, 0.680], [0.773, 0.000, 0.320]],
  "formation_energy_uncorrected_ev_per_atom": 0.023,
  "e_tot_ev_per_atom": -4.04
}

---

(15)
{
  "formula": "CdCoSb2",
  "functional": "PBE-GGA",
  "state": "optimized geometry",
  "lattice_angstrom": [[4.635, 0.000, 0.000], [0.000, 4.635, 0.000], [0.000, 0.000, 7.934]],
  "species": ["Cd", "Cd", "Co", "Co", "Sb", "Sb", "Sb", "Sb"],
  "frac_coords": [[0.000, 0.000, 0.000], [0.500, 0.500, 0.500], [0.000, 0.000, 0.500], [0.500, 0.500, 0.000], [0.000, 0.500, 0.250], [0.000, 0.500, 0.750], [0.500, 0.000, 0.250], [0.500, 0.000, 0.750]],
  "formation_energy_uncorrected_ev_per_atom": 0.421,
  "e_tot_ev_per_atom": -3.65
}